# HPtPb2Se | Alexandria via LeMat-Bulk | PBE | optimized geometry
# Final energy, eV per atom: -4.220
data_HPtPb2Se
_space_group_name_H-M_alt 'P 4/m m m'
_space_group_IT_number 123
_space_group_name_Hall '-P 4 2'
_cell_length_a 5.448
_cell_length_b 5.448
_cell_length_c 3.644
_cell_angle_alpha 90.00
_cell_angle_beta 90.00
_cell_angle_gamma 90.00
loop_
_atom_site_label
_atom_site_type_symbol
_atom_site_fract_x
_atom_site_fract_y
_atom_site_fract_z
H1 H 0.000 0.000 0.000
Pt1 Pt 0.000 0.000 0.500
Pb1 Pb 0.000 0.500 0.500
Se1 Se 0.500 0.500 0.000

---

# Si2HPtPb | Alexandria via LeMat-Bulk | PBE | optimized geometry
# Final energy, eV per atom: -4.261
data_Si2HPtPb
_space_group_name_H-M_alt 'P 4/m m m'
_space_group_IT_number 123
_space_group_name_Hall '-P 4 2'
_cell_length_a 4.122
_cell_length_b 4.122
_cell_length_c 4.675
_cell_angle_alpha 90.00
_cell_angle_beta 90.00
_cell_angle_gamma 90.00
loop_
_atom_site_label
_atom_site_type_symbol
_atom_site_fract_x
_atom_site_fract_y
_atom_site_fract_z
Si1 Si 0.000 0.500 0.000
H1 H 0.000 0.000 0.000
Pt1 Pt 0.500 0.500 0.500
Pb1 Pb 0.000 0.000 0.500

---

# SnHPtPb2 | Alexandria via LeMat-Bulk | PBE | optimized geometry
# Final energy, eV per atom: -4.148
data_SnHPtPb2
_space_group_name_H-M_alt 'P 4/m m m'
_space_group_IT_number 123
_space_group_name_Hall '-P 4 2'
_cell_length_a 5.700
_cell_length_b 5.700
_cell_length_c 3.448
_cell_angle_alpha 90.00
_cell_angle_beta 90.00
_cell_angle_gamma 90.00
loop_
_atom_site_label
_atom_site_type_symbol
_atom_site_fract_x
_atom_site_fract_y
_atom_site_fract_z
Sn1 Sn 0.000 0.000 0.000
H1 H 0.500 0.500 0.000
Pt1 Pt 0.500 0.500 0.500
Pb1 Pb 0.000 0.500 0.500

---

# Sn2HPtPb | Alexandria via LeMat-Bulk | PBE | optimized geometry
# Final energy, eV per atom: -4.271
data_Sn2HPtPb
_space_group_name_H-M_alt 'P 4/m m m'
_space_group_IT_number 123
_space_group_name_Hall '-P 4 2'
_cell_length_a 5.542
_cell_length_b 5.542
_cell_length_c 3.472
_cell_angle_alpha 90.00
_cell_angle_beta 90.00
_cell_angle_gamma 90.00
loop_
_atom_site_label
_atom_site_type_symbol
_atom_site_fract_x
_atom_site_fract_y
_atom_site_fract_z
Sn1 Sn 0.000 0.500 0.000
H1 H 0.000 0.000 0.500
Pt1 Pt 0.000 0.000 0.000
Pb1 Pb 0.500 0.500 0.500

---

# SrH2PtPb | Alexandria via LeMat-Bulk | PBE | optimized geometry
# Final energy, eV per atom: -3.497
data_SrH2PtPb
_space_group_name_H-M_alt 'P 4/m m m'
_space_group_IT_number 123
_space_group_name_Hall '-P 4 2'
_cell_length_a 4.276
_cell_length_b 4.276
_cell_length_c 6.014
_cell_angle_alpha 90.00
_cell_angle_beta 90.00
_cell_angle_gamma 90.00
loop_
_atom_site_label
_atom_site_type_symbol
_atom_site_fract_x
_atom_site_fract_y
_atom_site_fract_z
Sr1 Sr 0.000 0.000 0.000
H1 H 0.000 0.500 0.000
Pt1 Pt 0.000 0.000 0.500
Pb1 Pb 0.500 0.500 0.500

---

# Sr2HPtPb | Alexandria via LeMat-Bulk | PBE | optimized geometry
# Final energy, eV per atom: -3.847
data_Sr2HPtPb
_space_group_name_H-M_alt 'P 4/m m m'
_space_group_IT_number 123
_space_group_name_Hall '-P 4 2'
_cell_length_a 5.632
_cell_length_b 5.632
_cell_length_c 3.778
_cell_angle_alpha 90.00
_cell_angle_beta 90.00
_cell_angle_gamma 90.00
loop_
_atom_site_label
_atom_site_type_symbol
_atom_site_fract_x
_atom_site_fract_y
_atom_site_fract_z
Sr1 Sr 0.000 0.500 0.000
H1 H 0.000 0.000 0.000
Pt1 Pt 0.000 0.000 0.500
Pb1 Pb 0.500 0.500 0.500

---

# TeHPtPb2 | Alexandria via LeMat-Bulk | PBE | optimized geometry
# Final energy, eV per atom: -4.097
data_TeHPtPb2
_space_group_name_H-M_alt 'P 4/m m m'
_space_group_IT_number 123
_space_group_name_Hall '-P 4 2'
_cell_length_a 5.653
_cell_length_b 5.653
_cell_length_c 3.585
_cell_angle_alpha 90.00
_cell_angle_beta 90.00
_cell_angle_gamma 90.00
loop_
_atom_site_label
_atom_site_type_symbol
_atom_site_fract_x
_atom_site_fract_y
_atom_site_fract_z
Te1 Te 0.000 0.000 0.000
H1 H 0.500 0.500 0.000
Pt1 Pt 0.500 0.500 0.500
Pb1 Pb 0.000 0.500 0.500

---

# TlHPtPb2 | Alexandria via LeMat-Bulk | PBE | optimized geometry
# Final energy, eV per atom: -3.827
data_TlHPtPb2
_space_group_name_H-M_alt 'P 4/m m m'
_space_group_IT_number 123
_space_group_name_Hall '-P 4 2'
_cell_length_a 5.720
_cell_length_b 5.720
_cell_length_c 3.470
_cell_angle_alpha 90.00
_cell_angle_beta 90.00
_cell_angle_gamma 90.00
loop_
_atom_site_label
_atom_site_type_symbol
_atom_site_fract_x
_atom_site_fract_y
_atom_site_fract_z
Tl1 Tl 0.000 0.000 0.000
H1 H 0.500 0.500 0.000
Pt1 Pt 0.500 0.500 0.500
Pb1 Pb 0.000 0.500 0.500

---

# TlH6Pt2Pb | Alexandria via LeMat-Bulk | PBE | optimized geometry
# Final energy, eV per atom: -3.730
data_TlH6Pt2Pb
_space_group_name_H-M_alt 'C 1 2/c 1'
_space_group_IT_number 15
_cell_length_a 9.408
_cell_length_b 9.931
_cell_length_c 5.612
_cell_angle_alpha 90.00
_cell_angle_beta 102.87
_cell_angle_gamma 90.00
loop_
_space_group_symop_operation_xyz
'x,y,z'
'-x,-y,-z'
'-x,y,-z+1/2'
'x,-y,z+1/2'
'x+1/2,y+1/2,z'
'-x+1/2,-y+1/2,-z'
'-x+1/2,y+1/2,-z+1/2'
'x+1/2,-y+1/2,z+1/2'
loop_
_atom_site_label
_atom_site_type_symbol
_atom_site_fract_x
_atom_site_fract_y
_atom_site_fract_z
Tl1 Tl 0.000 0.132 0.250
H1 H 0.129 0.176 0.687
H2 H 0.134 0.326 0.219
H3 H 0.216 0.092 0.037
Pt1 Pt 0.246 0.050 0.761
Pb1 Pb 0.000 0.381 0.750

---

# Pu2HPb2 | Alexandria via LeMat-Bulk | PBE | optimized geometry
# Final energy, eV per atom: -7.909
data_Pu2HPb2
_space_group_name_H-M_alt 'C m c 21'
_space_group_IT_number 36
_cell_length_a 3.528
_cell_length_b 16.486
_cell_length_c 7.567
_cell_angle_alpha 90.00
_cell_angle_beta 90.00
_cell_angle_gamma 90.00
loop_
_space_group_symop_operation_xyz
'x,y,z'
'-x,-y,z+1/2'
'-x,y,z'
'x,-y,z+1/2'
'x+1/2,y+1/2,z'
'-x+1/2,-y+1/2,z+1/2'
'-x+1/2,y+1/2,z'
'x+1/2,-y+1/2,z+1/2'
loop_
_atom_site_label
_atom_site_type_symbol
_atom_site_fract_x
_atom_site_fract_y
_atom_site_fract_z
Pu1 Pu 0.000 0.068 0.000
Pu2 Pu 0.000 0.393 0.717
H1 H 0.000 0.032 0.291
Pb1 Pb 0.000 0.252 0.415
Pb2 Pb 0.000 0.407 0.134

---

# Pu3H3Pb | Alexandria via LeMat-Bulk | PBE | optimized geometry
# Final energy, eV per atom: -8.423
data_Pu3H3Pb
_space_group_name_H-M_alt 'P m -3 n'
_space_group_IT_number 223
_space_group_name_Hall '-P 4n 2 3'
_cell_length_a 6.254
_cell_length_b 6.254
_cell_length_c 6.254
_cell_angle_alpha 90.00
_cell_angle_beta 90.00
_cell_angle_gamma 90.00
loop_
_atom_site_label
_atom_site_type_symbol
_atom_site_fract_x
_atom_site_fract_y
_atom_site_fract_z
Pu1 Pu 0.000 0.250 0.500
H1 H 0.000 0.500 0.250
Pb1 Pb 0.000 0.000 0.000

---

# Pu2HRh4Pb2 | Alexandria via LeMat-Bulk | PBE | optimized geometry
# Final energy, eV per atom: -7.824
data_Pu2HRh4Pb2
_space_group_name_H-M_alt 'I 4/m m m'
_space_group_IT_number 139
_space_group_name_Hall '-I 4 2'
_cell_length_a 6.607
_cell_length_b 6.607
_cell_length_c 7.272
_cell_angle_alpha 90.00
_cell_angle_beta 90.00
_cell_angle_gamma 90.00
loop_
_atom_site_label
_atom_site_type_symbol
_atom_site_fract_x
_atom_site_fract_y
_atom_site_fract_z
Pu1 Pu 0.000 0.000 0.188
H1 H 0.000 0.000 0.500
Rh1 Rh 0.215 0.215 0.500
Pb1 Pb 0.000 0.500 0.250

---

# PuH8Rh2Pb | Alexandria via LeMat-Bulk | PBE | optimized geometry
# Final energy, eV per atom: -4.924
data_PuH8Rh2Pb
_space_group_name_H-M_alt 'R -3 m'
_space_group_IT_number 166
_space_group_name_Hall '-R 3 2"'
_cell_length_a 4.7388
_cell_length_b 4.7388
_cell_length_c 19.4004
_cell_angle_alpha 90.00
_cell_angle_beta 90.00
_cell_angle_gamma 120.00
loop_
_atom_site_label
_atom_site_type_symbol
_atom_site_fract_x
_atom_site_fract_y
_atom_site_fract_z
Pu1 Pu 0.0000 0.0000 0.0000
H1 H 0.0000 0.0000 0.3650
H2 H 0.0029 0.5015 0.5638
Rh1 Rh 0.0000 0.0000 0.2783
Pb1 Pb 0.0000 0.0000 0.5000

---

# PuH6Rh2Pb | Alexandria via LeMat-Bulk | PBE | optimized geometry
# Final energy, eV per atom: -5.448
data_PuH6Rh2Pb
_space_group_name_H-M_alt 'C 1 2/c 1'
_space_group_IT_number 15
_cell_length_a 7.602
_cell_length_b 11.998
_cell_length_c 4.711
_cell_angle_alpha 90.00
_cell_angle_beta 96.16
_cell_angle_gamma 90.00
loop_
_space_group_symop_operation_xyz
'x,y,z'
'-x,-y,-z'
'-x,y,-z+1/2'
'x,-y,z+1/2'
'x+1/2,y+1/2,z'
'-x+1/2,-y+1/2,-z'
'-x+1/2,y+1/2,-z+1/2'
'x+1/2,-y+1/2,z+1/2'
loop_
_atom_site_label
_atom_site_type_symbol
_atom_site_fract_x
_atom_site_fract_y
_atom_site_fract_z
Pu1 Pu 0.000 0.157 0.250
H1 H 0.113 0.158 0.795
H2 H 0.162 0.005 0.494
H3 H 0.199 0.308 0.424
Rh1 Rh 0.215 0.420 0.231
Pb1 Pb 0.000 0.374 0.750

---

# Rb2HPb | Alexandria via LeMat-Bulk | PBE | optimized geometry
# Energy above the most stable polymorph in this dataset, meV per atom: 0.0
data_Rb2HPb
_space_group_name_H-M_alt 'R -3 m'
_space_group_IT_number 166
_space_group_name_Hall '-R 3 2"'
_cell_length_a 3.9123
_cell_length_b 3.9123
_cell_length_c 32.3959
_cell_angle_alpha 90.00
_cell_angle_beta 90.00
_cell_angle_gamma 120.00
loop_
_atom_site_label
_atom_site_type_symbol
_atom_site_fract_x
_atom_site_fract_y
_atom_site_fract_z
Rb1 Rb 0.0000 0.0000 0.1115
H1 H 0.0000 0.0000 0.5000
Pb1 Pb 0.0000 0.0000 0.0000

---

# Rb3HPb | Alexandria via LeMat-Bulk | PBE | optimized geometry
# Energy above the most stable polymorph in this dataset, meV per atom: 0.0
data_Rb3HPb
_space_group_name_H-M_alt 'P m -3 m'
_space_group_IT_number 221
_space_group_name_Hall '-P 4 2 3'
_cell_length_a 5.864
_cell_length_b 5.864
_cell_length_c 5.864
_cell_angle_alpha 90.00
_cell_angle_beta 90.00
_cell_angle_gamma 90.00
loop_
_atom_site_label
_atom_site_type_symbol
_atom_site_fract_x
_atom_site_fract_y
_atom_site_fract_z
Rb1 Rb 0.000 0.000 0.500
H1 H 0.000 0.000 0.000
Pb1 Pb 0.500 0.500 0.500

---

# Rb12H5Pb3 | Alexandria via LeMat-Bulk | PBE | optimized geometry
# Final energy, eV per atom: -1.979
data_Rb12H5Pb3
_space_group_name_H-M_alt 'I a -3 d'
_space_group_IT_number 230
_space_group_name_Hall '-I 4bd 2c 3'
_cell_length_a 19.356
_cell_length_b 19.356
_cell_length_c 19.356
_cell_angle_alpha 90.00
_cell_angle_beta 90.00
_cell_angle_gamma 90.00
loop_
_atom_site_label
_atom_site_type_symbol
_atom_site_fract_x
_atom_site_fract_y
_atom_site_fract_z
Rb1 Rb 0.033 0.051 0.649
H1 H 0.000 0.000 0.000
H2 H 0.000 0.250 0.375
Pb1 Pb 0.000 0.250 0.125

---

# Rb2H3Pb | Alexandria via LeMat-Bulk | PBE | optimized geometry
# Final energy, eV per atom: -2.484
data_Rb2H3Pb
_space_group_name_H-M_alt 'F m m m'
_space_group_IT_number 69
_space_group_name_Hall '-F 2 2'
_cell_length_a 8.263
_cell_length_b 9.699
_cell_length_c 16.237
_cell_angle_alpha 90.00
_cell_angle_beta 90.00
_cell_angle_gamma 90.00
loop_
_atom_site_label
_atom_site_type_symbol
_atom_site_fract_x
_atom_site_fract_y
_atom_site_fract_z
Rb1 Rb 0.000 0.161 0.000
Rb2 Rb 0.250 0.250 0.250
H1 H 0.000 0.000 0.278
H2 H 0.219 0.000 0.113
Pb1 Pb 0.000 0.000 0.399

---

# Rb3H6Pb2 | Alexandria via LeMat-Bulk | PBE | optimized geometry
# Final energy, eV per atom: -2.727
data_Rb3H6Pb2
_space_group_name_H-M_alt 'P n n m'
_space_group_IT_number 58
_cell_length_a 5.017
_cell_length_b 9.947
_cell_length_c 11.866
_cell_angle_alpha 90.00
_cell_angle_beta 90.00
_cell_angle_gamma 90.00
loop_
_space_group_symop_operation_xyz
'x,y,z'
'-x,-y,-z'
'-x,-y,z'
'x,y,-z'
'x+1/2,-y+1/2,-z+1/2'
'-x+1/2,y+1/2,z+1/2'
'-x+1/2,y+1/2,-z+1/2'
'x+1/2,-y+1/2,z+1/2'
loop_
_atom_site_label
_atom_site_type_symbol
_atom_site_fract_x
_atom_site_fract_y
_atom_site_fract_z
Rb1 Rb 0.000 0.000 0.000
Rb2 Rb 0.000 0.500 0.185
H1 H 0.012 0.349 0.390
H2 H 0.129 0.295 0.000
Pb1 Pb 0.016 0.203 0.500

---

# RbHPb3 | Alexandria via LeMat-Bulk | PBE | optimized geometry
# Energy above the most stable polymorph in this dataset, meV per atom: 1314.6
data_RbHPb3
_space_group_name_H-M_alt 'P m -3 m'
_space_group_IT_number 221
_space_group_name_Hall '-P 4 2 3'
_cell_length_a 6.399
_cell_length_b 6.399
_cell_length_c 6.399
_cell_angle_alpha 90.00
_cell_angle_beta 90.00
_cell_angle_gamma 90.00
loop_
_atom_site_label
_atom_site_type_symbol
_atom_site_fract_x
_atom_site_fract_y
_atom_site_fract_z
Rb1 Rb 0.000 0.000 0.000
H1 H 0.500 0.500 0.500
Pb1 Pb 0.000 0.000 0.500